Compound: CsCaI3
Source: Alexandria
Functional: PBE
Structure: relaxed

As for the space-group type: Cmcm, No. 63. Its crystal system is orthorhombic. The magnetic moment comes out at 0.00 μB per formula unit. As for the volume: 58.6 A^3/atom. The calculation puts the formation energy from raw total energies at -1.475 eV/atom.

Unit cell a=7.575 b=7.575 c=10.282 alpha=90.00 beta=90.00 gamma=83.05
Atoms (fractional coordinates):
Cs 0.670 0.330 0.250
Cs 0.330 0.670 0.750
I 0.156 0.446 0.250
I 0.554 0.844 0.250
I 0.446 0.156 0.750
I 0.844 0.554 0.750
I 0.000 0.000 0.000
I 0.000 0.000 0.500
Ca 0.164 0.836 0.250
Ca 0.836 0.164 0.750